[1]
# MgReSi

A relaxed structure of MgReSi (PBE, Alexandria via LeMat-Bulk).

The space group is P3m1 (No. 156) and the conventional cell measures 2.9563, 2.9563 and 6.3793 Å, with angles of 90.00, 90.00 and 120.00 degrees. The inequivalent atoms are Mg at (0.0000, 0.0000, 0.0000), Re at (0.3333, 0.6667, 0.3565) and Si at (0.6667, 0.3333, 0.6368).

For the density of states at the Fermi level, the calculation gives 0.809 states/eV/atom. As for the total energy: -6.32 eV per atom. The theoretical density is 8.21 g/cm³.

[2]
# La4Pr2Mg

A relaxed structure of La4Pr2Mg (PBE, Alexandria via LeMat-Bulk).

The space group is P-42m (No. 111) and the conventional cell measures 4.861, 4.861 and 11.248 Å, with angles of 90.00, 90.00 and 90.00 degrees. The inequivalent atoms are La at (0.228, 0.228, 0.234), Pr at (0.000, 0.500, 0.500) and Mg at (0.500, 0.500, 0.000).

As for the energy of formation from the pure elements: 297 kJ/mol of formula units. For the energy above the most stable polymorph in this dataset, the calculation gives 298 meV/atom. For the density of states at the Fermi level, the calculation gives 1.481 states/eV/atom. As for the total energy: -3.97 eV per atom. The theoretical density is 5.39 g/cm³.

[3]
# NbMoP2Rh

A relaxed structure of NbMoP2Rh (PBE, Alexandria via LeMat-Bulk).

The space group is P4/mmm (No. 123) and the conventional cell measures 4.689, 4.689 and 4.829 Å, with angles of 90.00, 90.00 and 90.00 degrees. The inequivalent atoms are Nb at (0.000, 0.000, 0.000), Mo at (0.000, 0.000, 0.500), P at (0.000, 0.500, 0.000) and Rh at (0.500, 0.500, 0.500).

As for the energy of formation from the pure elements: 632 kJ/mol of formula units. For the density of states at the Fermi level, the calculation gives 1.082 states/eV/atom. As for the total energy: -6.50 eV per atom. The theoretical density is 5.53 g/cm³.

[4]
# AlH2Cl6

A relaxed structure of AlH2Cl6 (PBE, Alexandria via LeMat-Bulk).

The space group is C2/c (No. 15) and the conventional cell measures 14.692, 14.293 and 5.346 Å, with angles of 90.00, 104.48 and 90.00 degrees. The inequivalent atoms are Al at (0.000, 0.204, 0.250), H at (0.230, 0.116, 0.514), Cl at (0.060, 0.298, 0.579), Cl at (0.111, 0.123, 0.166) and Cl at (0.199, 0.395, 0.282).

For the energy above the most stable polymorph in this dataset, the calculation gives 0 meV/atom. As for the total energy: -3.22 eV per atom. The theoretical density is 1.48 g/cm³.

[5]
# TaSi2Ir

A relaxed structure of TaSi2Ir (PBE, Alexandria via LeMat-Bulk).

The space group is P4mm (No. 99) and the conventional cell measures 2.820, 2.820 and 7.776 Å, with angles of 90.00, 90.00 and 90.00 degrees. The inequivalent atoms are Ta at (0.000, 0.000, 0.000), Si at (0.000, 0.000, 0.463), Si at (0.500, 0.500, 0.750) and Ir at (0.500, 0.500, 0.260).

For the density of states at the Fermi level, the calculation gives 0.911 states/eV/atom. As for the total energy: -8.02 eV per atom. The theoretical density is 11.53 g/cm³.

[6]
# GdMgSnRh

A relaxed structure of GdMgSnRh (PBE, Alexandria via LeMat-Bulk).

The space group is F-43m (No. 216) and the conventional cell measures 6.840, 6.840 and 6.840 Å, with angles of 90.00, 90.00 and 90.00 degrees. The inequivalent atoms are Gd at (0.000, 0.000, 0.000), Mg at (0.250, 0.250, 0.250), Sn at (0.000, 0.000, 0.500) and Rh at (0.250, 0.250, 0.750).

As for the energy of formation from the pure elements: -210 kJ/mol of formula units. For the density of states at the Fermi level, the calculation gives 0.163 states/eV/atom. As for the total energy: -7.30 eV per atom. The theoretical density is 8.37 g/cm³.

[7]
# NaPmEuIr

A relaxed structure of NaPmEuIr (PBE, Alexandria via LeMat-Bulk).

The space group is F-43m (No. 216) and the conventional cell measures 7.318, 7.318 and 7.318 Å, with angles of 90.00, 90.00 and 90.00 degrees. The inequivalent atoms are Na at (0.000, 0.000, 0.000), Pm at (0.250, 0.250, 0.250), Eu at (0.250, 0.250, 0.750) and Ir at (0.000, 0.000, 0.500).

As for the energy of formation from the pure elements: -62 kJ/mol of formula units. For the density of states at the Fermi level, the calculation gives 0.788 states/eV/atom. As for the total energy: -6.46 eV per atom. The theoretical density is 8.68 g/cm³.

[8]
# LiCu2SiS4

A relaxed structure of LiCu2SiS4 (PBE, Alexandria via LeMat-Bulk).

The space group is I-42m (No. 121) and the conventional cell measures 5.431, 5.431 and 10.035 Å, with angles of 90.00, 90.00 and 90.00 degrees. The inequivalent atoms are Li at (0.000, 0.000, 0.000), Cu at (0.000, 0.500, 0.250), Si at (0.000, 0.000, 0.500) and S at (0.228, 0.228, 0.375).

For the density of states at the Fermi level, the calculation gives 1.037 states/eV/atom. As for the total energy: -4.63 eV per atom. The theoretical density is 3.26 g/cm³.

[9]
# Zn6GeRu2

A relaxed structure of Zn6GeRu2 (PBE, Alexandria via LeMat-Bulk).

The space group is C2/m (No. 12) and the conventional cell measures 12.337, 3.798 and 5.902 Å, with angles of 90.00, 110.61 and 90.00 degrees. The inequivalent atoms are Zn at (0.105, 0.000, 0.144), Zn at (0.176, 0.500, 0.499), Zn at (0.228, 0.000, 0.846), Ge at (0.000, 0.000, 0.500) and Ru at (0.048, 0.500, 0.783).

As for the energy of formation from the pure elements: -76 kJ/mol of formula units. For the density of states at the Fermi level, the calculation gives 0.425 states/eV/atom. As for the total energy: -3.51 eV per atom. The theoretical density is 8.56 g/cm³.

[10]
# Cs3Sm3PuS8

A relaxed structure of Cs3Sm3PuS8 (PBE, Alexandria via LeMat-Bulk).

The space group is R-3m (No. 166, hexagonal axes) and the conventional cell measures 8.2721, 8.2721 and 24.6335 Å, with angles of 90.00, 90.00 and 120.00 degrees. The inequivalent atoms are Cs at (0.0000, 0.5000, 0.0000), Sm at (0.0000, 0.5000, 0.5000), Pu at (0.0000, 0.0000, 0.5000), S at (0.0000, 0.0000, 0.2278) and S at (0.0122, 0.5061, 0.2257).

For the density of states at the Fermi level, the calculation gives 0.766 states/eV/atom. As for the total energy: -6.02 eV per atom. The theoretical density is 4.61 g/cm³.

[11]
# OsBr2Cl

A relaxed structure of OsBr2Cl (PBE, Alexandria via LeMat-Bulk).

The space group is Immm (No. 71) and the conventional cell measures 3.097, 4.652 and 14.218 Å, with angles of 90.00, 90.00 and 90.00 degrees. The inequivalent atoms are Os at (0.000, 0.000, 0.000), Br at (0.000, 0.500, 0.357) and Cl at (0.000, 0.000, 0.500).

For the energy above the most stable polymorph in this dataset, the calculation gives 427 meV/atom. For the density of states at the Fermi level, the calculation gives 0.921 states/eV/atom. As for the total energy: -3.67 eV per atom. The theoretical density is 6.25 g/cm³.

[12]
# DyGa2Cu

A relaxed structure of DyGa2Cu (PBE, Alexandria via LeMat-Bulk).

The space group is R-3m (No. 166, hexagonal axes) and the conventional cell measures 4.1429, 4.1429 and 15.3405 Å, with angles of 90.00, 90.00 and 120.00 degrees. The inequivalent atoms are Dy at (0.0000, 0.0000, 0.0000), Ga at (0.0000, 0.0000, 0.2151) and Cu at (0.0000, 0.0000, 0.5000).

As for the energy of formation from the pure elements: -181 kJ/mol of formula units. For the density of states at the Fermi level, the calculation gives 0.435 states/eV/atom. As for the total energy: -4.16 eV per atom. The theoretical density is 7.99 g/cm³.